{
  "formula": "PrSmErHg",
  "functional": "PBE",
  "state": "optimized geometry",
  "lattice": [[0.000, 3.896, 3.896], [3.896, 0.000, 3.896], [3.896, 3.896, 0.000]],
  "species": ["Pr", "Sm", "Er", "Hg"],
  "fractional_positions": [[0.000, 0.000, 0.000], [0.500, 0.500, 0.500], [0.250, 0.250, 0.250], [0.750, 0.750, 0.750]],
  "final_energy_ev_per_atom": -3.67,
  "de_polymorph_mev_per_atom": 157,
  "n_ef_per_ev_fu": 5.743,
  "delta_e_f_mev_per_atom": -75
}


{
  "formula": "MgNbAu",
  "functional": "PBE",
  "state": "optimized geometry",
  "lattice": [[3.376, 0.000, 0.000], [0.013, 4.405, 0.000], [1.676, 0.056, 7.306]],
  "species": ["Mg", "Mg", "Nb", "Nb", "Au", "Au"],
  "fractional_positions": [[0.076, 0.249, 0.348], [0.924, 0.751, 0.652], [0.246, 0.750, 0.008], [0.754, 0.250, 0.992], [0.413, 0.251, 0.676], [0.587, 0.749, 0.324]],
  "final_energy_ev_per_atom": -5.23,
  "n_ef_per_ev_fu": 2.214,
  "delta_e_f_mev_per_atom": -248
}


{
  "formula": "TbPrNd2",
  "functional": "PBE",
  "state": "optimized geometry",
  "lattice": [[5.698, 0.000, 0.000], [0.000, 1.798, 6.771], [0.000, -1.798, 6.771]],
  "species": ["Tb", "Pr", "Nd", "Nd"],
  "fractional_positions": [[0.000, 0.000, 0.000], [0.500, 0.360, 0.360], [0.000, 0.739, 0.739], [0.500, 0.614, 0.614]],
  "final_energy_ev_per_atom": -4.69,
  "de_polymorph_mev_per_atom": 35,
  "n_ef_per_ev_fu": 5.656,
  "delta_e_f_mev_per_atom": 49
}


{
  "formula": "ScPa3S4",
  "functional": "PBE",
  "state": "optimized geometry",
  "lattice": [[6.846, 0.000, 0.000], [0.000, 7.665, 0.000], [-2.143, 0.000, 6.142]],
  "species": ["Sc", "Sc", "Pa", "Pa", "Pa", "Pa", "Pa", "Pa", "S", "S", "S", "S", "S", "S", "S", "S"],
  "fractional_positions": [[0.000, 0.125, 0.250], [0.000, 0.875, 0.750], [0.000, 0.377, 0.750], [0.000, 0.623, 0.250], [0.500, 0.125, 0.750], [0.500, 0.377, 0.250], [0.500, 0.623, 0.750], [0.500, 0.875, 0.250], [0.236, 0.119, 0.999], [0.236, 0.881, 0.499], [0.242, 0.367, 0.493], [0.242, 0.633, 0.993], [0.758, 0.367, 0.007], [0.758, 0.633, 0.507], [0.764, 0.119, 0.501], [0.764, 0.881, 0.001]],
  "final_energy_ev_per_atom": -8.07,
  "raw_formation_energy_ev_per_atom": -1.651,
  "n_ef_per_ev_fu": 10.011
}


Repeat the first record exactly.
{
  "formula": "PrSmErHg",
  "functional": "PBE",
  "state": "optimized geometry",
  "lattice": [[0.000, 3.896, 3.896], [3.896, 0.000, 3.896], [3.896, 3.896, 0.000]],
  "species": ["Pr", "Sm", "Er", "Hg"],
  "fractional_positions": [[0.000, 0.000, 0.000], [0.500, 0.500, 0.500], [0.250, 0.250, 0.250], [0.750, 0.750, 0.750]],
  "final_energy_ev_per_atom": -3.67,
  "de_polymorph_mev_per_atom": 157,
  "n_ef_per_ev_fu": 5.743,
  "delta_e_f_mev_per_atom": -75
}


What did the fourth record say?
{
  "formula": "ScPa3S4",
  "functional": "PBE",
  "state": "optimized geometry",
  "lattice": [[6.846, 0.000, 0.000], [0.000, 7.665, 0.000], [-2.143, 0.000, 6.142]],
  "species": ["Sc", "Sc", "Pa", "Pa", "Pa", "Pa", "Pa", "Pa", "S", "S", "S", "S", "S", "S", "S", "S"],
  "fractional_positions": [[0.000, 0.125, 0.250], [0.000, 0.875, 0.750], [0.000, 0.377, 0.750], [0.000, 0.623, 0.250], [0.500, 0.125, 0.750], [0.500, 0.377, 0.250], [0.500, 0.623, 0.750], [0.500, 0.875, 0.250], [0.236, 0.119, 0.999], [0.236, 0.881, 0.499], [0.242, 0.367, 0.493], [0.242, 0.633, 0.993], [0.758, 0.367, 0.007], [0.758, 0.633, 0.507], [0.764, 0.119, 0.501], [0.764, 0.881, 0.001]],
  "final_energy_ev_per_atom": -8.07,
  "raw_formation_energy_ev_per_atom": -1.651,
  "n_ef_per_ev_fu": 10.011
}